This record from the Alexandria database describes a relaxed MnPOsO2 crystal. The functional is PBE+U.

Computed properties:
The raw total energy is -6.56 eV per atom.

Lattice parameters (Å, degrees): 3.5441 3.5441 6.3244 90.00 90.00 90.00
With the nearest neighbours (Å) after each atom.
Sites, in units of the cell vectors:
Mn 0.0000 0.0000 0.0000  4 O 1.77
P 0.0000 0.0000 0.5000  4 Os 2.51
Os 0.5000 0.5000 0.5000  4 P 2.51
O 0.0000 0.5000 0.0000  2 Mn 1.77
O 0.5000 0.0000 0.0000  2 Mn 1.77